# 1
# Dy3Er2Hg6

A relaxed structure of Dy3Er2Hg6 (GGA-PBE, the Alexandria database).

Cell and atoms, written as POSCAR:
```
Dy3Er2Hg6
1.0
5.077 0.000 0.000
0.000 5.077 0.000
-2.538 -2.538 13.168
Hg Er Dy
6 2 3
Direct
0.743 0.743 0.485 Hg
0.934 0.434 0.867 Hg
0.434 0.934 0.867 Hg
0.257 0.257 0.515 Hg
0.066 0.566 0.133 Hg
0.566 0.066 0.133 Hg
0.373 0.373 0.745 Er
0.627 0.627 0.255 Er
0.860 0.860 0.720 Dy
0.140 0.140 0.280 Dy
0.000 0.000 0.000 Dy
```

Results
magnetic moment = 0.0 Bohr magnetons per cell
DFT formation energy = -0.10 eV per atom
density of states at the Fermi level = 0.647 states/eV/atom
space-group type = I4/mmm (139)
total energy = -2.350 eV per atom

# 2
# BSb3Rh

A relaxed structure of BSb3Rh (GGA-PBE, the Alexandria database).

Cell and atoms, written as POSCAR:
```
BSb3Rh
1.0
-4.259 -1.419 1.314
1.261 -4.447 -0.716
1.467 -0.298 4.432
Sb B Rh
3 1 1
Direct
0.500 0.000 0.000 Sb
0.000 0.000 0.500 Sb
0.000 0.500 0.000 Sb
0.000 0.000 0.000 B
0.500 0.500 0.500 Rh
```

Results
magnetic moment = 0.0 Bohr magnetons per cell
density of states at the Fermi level = 0.659 states/eV/atom
relative energy among the computed polymorphs = 0 meV per atom
space-group type = Pm-3m (221)
total energy = -4.476 eV per atom
energy relative to the elements, uncorrected = 803 meV/atom

# 3
# Tb6Pr3Er2Th

A relaxed structure of Tb6Pr3Er2Th (GGA-PBE, the Alexandria database).

Cell and atoms, written as POSCAR:
```
Tb6Pr3Er2Th
1.0
-5.840 1.702 1.309
3.027 -3.893 3.794
4.978 9.865 4.447
Tb Pr Er Th
6 3 2 1
Direct
0.588 0.918 0.755 Tb
0.082 0.412 0.245 Tb
0.752 0.752 0.245 Tb
0.248 0.248 0.755 Tb
0.918 0.588 0.755 Tb
0.412 0.082 0.245 Tb
0.500 0.500 0.500 Pr
0.833 0.167 0.500 Pr
0.167 0.833 0.500 Pr
0.667 0.333 0.000 Er
0.333 0.667 0.000 Er
0.000 0.000 0.000 Th
```

Results
magnetic moment = 0.0 Bohr magnetons per cell
DFT formation energy = 0.02 eV per atom
density of states at the Fermi level = 1.334 states/eV/atom
space-group type = C2/m (12)
total energy = -4.867 eV per atom

# 4
# Ba3OsI

A relaxed structure of Ba3OsI (GGA-PBE, the Alexandria database).

Cell and atoms, written as POSCAR:
```
Ba3OsI
1.0
6.082 0.000 0.000
0.000 6.082 0.000
0.000 0.000 6.082
I Os Ba
1 1 3
Direct
0.500 0.500 0.500 I
0.000 0.000 0.000 Os
0.000 0.000 0.500 Ba
0.000 0.500 0.000 Ba
0.500 0.000 0.000 Ba
```

Results
magnetic moment = 0.3 Bohr magnetons per cell
density of states at the Fermi level = 1.357 states/eV/atom
relative energy among the computed polymorphs = 0 meV per atom
space-group type = Pm-3m (221)
total energy = -3.763 eV per atom
energy relative to the elements, uncorrected = -54 meV/atom